(1)
VASP calculation (PBE-GGA) on crystalline AcNdTh2Pt4 at its relaxed geometry.

Cell: 5.983 5.983 7.365 Å, 113.98 113.98 89.96°
Sites, in units of the cell vectors:
Pt (0.683, 0.683, 0.491)
Pt (0.437, 0.937, 0.000)
Ac (0.937, 0.937, 0.000)
Th (0.187, 0.687, 0.500)
Pt (0.192, 0.192, 0.509)
Th (0.687, 0.187, 0.500)
Pt (0.937, 0.437, 0.000)
Nd (0.437, 0.437, 0.000)

Results
The calculation puts the total DFT energy (no corrections) at -7.1325 eV per atom. As for the space group: I4/mmm.

(2)
VASP calculation (PBE-GGA) on crystalline Si3SnH12 at its relaxed geometry.

Cell: 7.783 7.783 9.529 Å, 65.90 65.90 60.00°
Sites, in units of the cell vectors:
Sn (0.064, 0.064, 0.808)
H (0.660, 0.264, 0.598)
H (0.977, 0.307, 0.390)
Si (0.471, 0.867, 0.493)
H (0.517, 0.496, 0.118)
H (0.368, 0.996, 0.618)
Si (0.169, 0.471, 0.493)
H (0.307, 0.326, 0.390)
H (0.264, 0.478, 0.598)
H (0.807, 0.477, 0.890)
H (0.496, 0.868, 0.118)
H (0.826, 0.807, 0.890)
H (0.680, 0.865, 0.403)
Si (0.867, 0.169, 0.493)
H (0.553, 0.365, 0.903)
Sn (0.564, 0.564, 0.308)
H (0.477, 0.826, 0.890)
H (0.365, 0.180, 0.903)
H (0.053, 0.680, 0.403)
H (0.326, 0.977, 0.390)
H (0.978, 0.764, 0.098)
H (0.865, 0.053, 0.403)
Si (0.971, 0.669, 0.993)
H (0.868, 0.517, 0.118)
H (0.764, 0.160, 0.098)
H (0.478, 0.660, 0.598)
Si (0.367, 0.971, 0.993)
H (0.160, 0.978, 0.098)
H (0.996, 0.017, 0.618)
H (0.180, 0.553, 0.903)
Si (0.669, 0.367, 0.993)
H (0.017, 0.368, 0.618)

Results
The calculation puts the total DFT energy (no corrections) at -3.6023 eV per atom. As for the space group: R3c.

(3)
VASP calculation (PBE-GGA) on crystalline CsGe3N at its relaxed geometry.

Cell: 5.767 5.767 5.767 Å, 90.00 90.00 90.00°
Sites, in units of the cell vectors:
Ge (0.000, 0.000, 0.500)
Ge (0.500, 0.000, 0.000)
Cs (0.000, 0.000, 0.000)
Ge (0.000, 0.500, 0.000)
N (0.500, 0.500, 0.500)

Results
For the energy above the most stable polymorph in this dataset, the calculation gives 2015 meV per atom. As for the space group: Pm-3m. The calculation puts the energy relative to the elements, uncorrected at 1453.9 kJ/mol of formula units.

(4)
VASP calculation (PBE-GGA) on crystalline Rb2H6PdPt at its relaxed geometry.

Cell: 5.404 5.890 5.890 Å, 120.00 90.00 90.00°
Sites, in units of the cell vectors:
Rb (0.257, 0.333, 0.667)
H (0.201, 0.872, 0.744)
H (0.799, 0.128, 0.872)
Rb (0.743, 0.667, 0.333)
H (0.201, 0.872, 0.128)
H (0.799, 0.128, 0.256)
H (0.799, 0.744, 0.872)
Pt (0.000, 0.000, 0.000)
Pd (0.500, 0.000, 0.000)
H (0.201, 0.256, 0.128)

Results
The calculation puts the total DFT energy (no corrections) at -3.6129 eV per atom. As for the space group: P-3m1.

(5)
VASP calculation (PBE-GGA) on crystalline Ga3AsS at its relaxed geometry.

Cell: 4.871 4.871 4.871 Å, 90.00 90.00 90.00°
Sites, in units of the cell vectors:
S (0.000, 0.000, 0.000)
Ga (0.500, 0.000, 0.000)
Ga (0.000, 0.000, 0.500)
Ga (0.000, 0.500, 0.000)
As (0.500, 0.500, 0.500)

Results
For the energy above the most stable polymorph in this dataset, the calculation gives 21 meV per atom. As for the space group: Pm-3m. The calculation puts the energy relative to the elements, uncorrected at 175.2 kJ/mol of formula units.

(6)
VASP calculation (PBE-GGA) on crystalline TlReRh3 at its relaxed geometry.

Cell: 4.805 4.805 4.805 Å, 90.00 90.00 90.00°
Sites, in units of the cell vectors:
Re (0.500, 0.500, 0.500)
Tl (0.000, 0.000, 0.000)
Rh (0.000, 0.500, 0.000)
Rh (0.500, 0.000, 0.000)
Rh (0.000, 0.000, 0.500)

Results
For the energy above the most stable polymorph in this dataset, the calculation gives 1462 meV per atom. As for the space group: Pm-3m.

(7)
VASP calculation (PBE-GGA) on crystalline Ba6RhN2Cl3 at its relaxed geometry.

Cell: 7.418 7.418 8.093 Å, 98.82 98.82 120.02°
Sites, in units of the cell vectors:
Rh (0.000, 0.000, 0.000)
Cl (0.500, 0.500, 0.500)
Ba (0.066, 0.422, 0.198)
N (0.667, 0.333, 0.000)
N (0.333, 0.667, 0.000)
Ba (0.422, 0.066, 0.198)
Ba (0.934, 0.578, 0.802)
Ba (0.289, 0.289, 0.801)
Cl (0.835, 0.165, 0.500)
Ba (0.578, 0.934, 0.802)
Cl (0.165, 0.835, 0.500)
Ba (0.711, 0.711, 0.199)

Results
As for the space group: C2/m. The calculation puts the energy relative to the elements, uncorrected at -1408.9 kJ/mol of formula units.

(8)
VASP calculation (PBE-GGA) on crystalline OsRu2SeCl at its relaxed geometry.

Cell: 4.402 4.410 4.402 Å, 90.00 90.00 90.00°
Sites, in units of the cell vectors:
Ru (0.000, 0.000, 0.500)
Ru (0.500, 0.000, 0.000)
Se (0.500, 0.500, 0.500)
Os (0.000, 0.500, 0.000)
Cl (0.000, 0.000, 0.000)

Results
As for the space group: P4/mmm. The calculation puts the energy relative to the elements, uncorrected at 771.7 kJ/mol of formula units.

(9)
VASP calculation (PBE-GGA) on crystalline Rb3YOs at its relaxed geometry.

Cell: 7.034 7.034 7.034 Å, 90.00 90.00 90.00°
Sites, in units of the cell vectors:
Rb (0.000, 0.500, 0.000)
Rb (0.000, 0.000, 0.500)
Os (0.500, 0.500, 0.500)
Y (0.000, 0.000, 0.000)
Rb (0.500, 0.000, 0.000)

Results
For the energy above the most stable polymorph in this dataset, the calculation gives 699 meV per atom. As for the space group: Pm-3m.

(10)
VASP calculation (PBE-GGA) on crystalline K3Sn5O12 at its relaxed geometry.

Cell: 11.758 11.758 11.758 Å, 109.47 109.47 109.47°
Each line ends with the local moment (μB).
Sites, in units of the cell vectors:
O (0.391, 0.402, 0.080)  0.09
O (0.080, 0.902, 0.391)  0.09
O (0.420, 0.109, 0.598)  0.09
Sn (0.750, 0.625, 0.375)  -0.01
Sn (0.750, 0.125, 0.875)  -0.01
O (0.109, 0.420, 0.098)  0.09
K (0.375, 0.750, 0.625)  0.00
O (0.598, 0.609, 0.420)  0.09
O (0.179, 0.080, 0.689)  0.09
O (0.679, 0.490, 0.598)  0.09
O (0.679, 0.189, 0.580)  0.09
Sn (0.375, 0.250, 0.125)  -0.01
O (0.189, 0.679, 0.080)  0.09
Sn (0.500, 0.000, 0.000)  -0.01
O (0.821, 0.920, 0.311)  0.09
K (0.625, 0.250, 0.375)  0.00
O (0.891, 0.311, 0.490)  0.09
O (0.490, 0.679, 0.098)  0.09
O (0.811, 0.490, 0.391)  0.09
O (0.321, 0.510, 0.402)  0.09
O (0.811, 0.321, 0.920)  0.09
O (0.420, 0.311, 0.321)  0.09
Sn (0.500, 0.500, 0.000)  -0.01
O (0.990, 0.598, 0.179)  0.09
O (0.311, 0.891, 0.990)  0.09
Sn (0.875, 0.625, 0.750)  -0.01
K (0.375, 0.625, 0.250)  0.00
O (0.402, 0.391, 0.580)  0.09
O (0.902, 0.821, 0.510)  0.09
O (0.080, 0.179, 0.189)  0.09
O (0.098, 0.920, 0.109)  0.09
O (0.510, 0.189, 0.109)  0.09
Sn (0.250, 0.375, 0.625)  -0.01
Sn (0.125, 0.750, 0.375)  -0.01
O (0.609, 0.598, 0.920)  0.09
O (0.598, 0.990, 0.679)  0.09
O (0.609, 0.010, 0.189)  0.09
O (0.510, 0.321, 0.902)  0.09
K (0.125, 0.250, 0.875)  0.00
Sn (0.000, 0.000, 0.500)  -0.01
O (0.402, 0.010, 0.321)  0.09
O (0.580, 0.891, 0.402)  0.09
O (0.010, 0.402, 0.821)  0.09
K (0.875, 0.125, 0.250)  0.00
Sn (0.000, 0.500, 0.500)  -0.01
O (0.821, 0.902, 0.010)  0.09
K (0.750, 0.375, 0.125)  0.00
O (0.689, 0.109, 0.010)  0.09
O (0.098, 0.179, 0.490)  0.09
Sn (0.625, 0.750, 0.875)  -0.01
Sn (0.500, 0.000, 0.500)  -0.01
O (0.891, 0.580, 0.902)  0.09
K (0.250, 0.625, 0.875)  0.00
O (0.920, 0.821, 0.811)  0.09
O (0.321, 0.811, 0.420)  0.09
Sn (0.375, 0.125, 0.750)  -0.01
O (0.391, 0.990, 0.811)  0.09
O (0.109, 0.689, 0.510)  0.09
O (0.010, 0.609, 0.689)  0.09
O (0.179, 0.098, 0.990)  0.09
K (0.250, 0.125, 0.375)  0.00
Sn (0.000, 0.500, 0.000)  -0.01
Sn (0.000, 0.000, 0.000)  -0.01
Sn (0.125, 0.375, 0.250)  -0.01
O (0.902, 0.080, 0.891)  0.09
Sn (0.250, 0.875, 0.125)  -0.01
K (0.875, 0.750, 0.125)  0.00
O (0.689, 0.580, 0.179)  0.09
Sn (0.625, 0.875, 0.250)  -0.01
K (0.625, 0.375, 0.750)  0.00
Sn (0.500, 0.500, 0.500)  -0.01
K (0.125, 0.875, 0.750)  0.00
O (0.920, 0.098, 0.609)  0.09
O (0.490, 0.811, 0.891)  0.09
K (0.750, 0.875, 0.625)  0.00
Sn (0.875, 0.250, 0.625)  -0.01
O (0.990, 0.391, 0.311)  0.09
O (0.189, 0.510, 0.609)  0.09
O (0.311, 0.420, 0.821)  0.09
O (0.580, 0.689, 0.679)  0.09

Results
As for the space group: Ia-3d. The calculation puts the energy relative to the elements, uncorrected at -2837.9 kJ/mol of formula units.

(11)
VASP calculation (PBE-GGA) on crystalline La2Pr4Sm5 at its relaxed geometry.

Cell: 6.031 6.447 10.532 Å, 95.78 106.64 90.00°
Sites, in units of the cell vectors:
Pr (0.306, 0.926, 0.611)
La (0.402, 0.461, 0.804)
Pr (0.694, 0.074, 0.389)
Pr (0.038, 0.273, 0.076)
Pr (0.962, 0.727, 0.924)
Sm (0.785, 0.609, 0.570)
Sm (0.870, 0.147, 0.740)
Sm (0.130, 0.853, 0.260)
Sm (0.215, 0.391, 0.430)
Sm (0.500, 0.000, 0.000)
La (0.598, 0.539, 0.196)

Results
For the energy above the most stable polymorph in this dataset, the calculation gives 0 meV per atom. As for the space group: C2/m.

(12)
VASP calculation (PBE-GGA) on crystalline CePaTe6 at its relaxed geometry.

Cell: 4.433 4.434 13.274 Å, 90.00 99.61 90.00°
Each line ends with the local moment (μB).
Sites, in units of the cell vectors:
Te (0.422, 0.000, 0.844)  -0.02
Te (0.081, 0.000, 0.161)  0.00
Te (0.922, 0.500, 0.845)  -0.02
Ce (0.830, 0.000, 0.660)  0.76
Te (0.704, 0.000, 0.407)  -0.04
Te (0.581, 0.500, 0.161)  0.00
Pa (0.169, 0.500, 0.338)  0.88
Te (0.292, 0.500, 0.584)  -0.03

Results
As for the space group: Amm2. The calculation puts the energy relative to the elements, uncorrected at -641.0 kJ/mol of formula units.

(13)
VASP calculation (PBE-GGA) on crystalline KInGa4 at its relaxed geometry.

Cell: 5.830 5.830 5.830 Å, 60.00 60.00 60.00°
Sites, in units of the cell vectors:
K (0.250, 0.250, 0.250)
Ga (0.123, 0.626, 0.626)
Ga (0.626, 0.626, 0.123)
Ga (0.626, 0.626, 0.626)
Ga (0.626, 0.123, 0.626)
In (0.000, 0.000, 0.000)

Results
The calculation puts the total DFT energy (no corrections) at -2.6488 eV per atom. As for the space group: F-43m.

(14)
VASP calculation (PBE-GGA) on crystalline LaSbCl2 at its relaxed geometry.

Cell: 7.298 7.298 7.298 Å, 151.37 130.82 57.89°
Sites, in units of the cell vectors:
Cl (0.419, 0.419, 0.000)
Sb (0.750, 0.250, 0.500)
Cl (0.081, 0.081, 0.000)
La (0.250, 0.750, 0.500)

Results
For the energy above the most stable polymorph in this dataset, the calculation gives 115 meV per atom. As for the space group: Immm. The calculation puts the energy relative to the elements, uncorrected at -509.2 kJ/mol of formula units.

(15)
VASP calculation (PBE-GGA) on crystalline BaCrCd2 at its relaxed geometry.

Cell: 4.929 4.929 6.492 Å, 67.63 67.63 60.06°
Each line ends with the local moment (μB).
Sites, in units of the cell vectors:
Cr (0.440, 0.440, 0.679)  3.81
Ba (0.246, 0.246, 0.261)  0.02
Cd (0.050, 0.050, 0.849)  -0.02
Cd (0.763, 0.763, 0.711)  -0.02

Results
The calculation puts the total DFT energy (no corrections) at -3.2063 eV per atom. As for the space group: Cm.

(16)
VASP calculation (PBE-GGA) on crystalline ZrMo2C at its relaxed geometry.

Cell: 5.207 5.207 5.207 Å, 147.53 124.90 65.43°
Sites, in units of the cell vectors:
C (0.760, 0.260, 0.500)
Zr (0.567, 0.567, 0.000)
Mo (0.249, 0.749, 0.500)
Mo (0.924, 0.924, 0.000)

Results
The calculation puts the total DFT energy (no corrections) at -9.4466 eV per atom. As for the space group: Imm2.

(17)
VASP calculation (PBE-GGA) on crystalline ZnIn2SbO6 at its relaxed geometry.

Cell: 5.532 5.532 5.839 Å, 61.75 61.77 59.98°
Sites, in units of the cell vectors:
O (0.701, 0.117, 0.757)
Zn (0.802, 0.802, 0.593)
O (0.211, 0.934, 0.248)
Sb (0.315, 0.315, 0.056)
O (0.424, 0.701, 0.757)
In (0.527, 0.527, 0.419)
O (0.607, 0.211, 0.248)
O (0.934, 0.607, 0.249)
In (0.023, 0.023, 0.931)
O (0.117, 0.424, 0.757)

Results
As for the space group: R3. The calculation puts the energy relative to the elements, uncorrected at -1339.7 kJ/mol of formula units.

(18)
VASP calculation (PBE-GGA) on crystalline Pa4C3 at its relaxed geometry.

Cell: 5.021 5.021 5.021 Å, 90.00 90.00 90.00°
Sites, in units of the cell vectors:
C (0.500, 0.000, 0.000)
Pa (0.500, 0.000, 0.500)
Pa (0.000, 0.500, 0.500)
Pa (0.500, 0.500, 0.000)
Pa (0.000, 0.000, 0.000)
C (0.000, 0.000, 0.500)
C (0.000, 0.500, 0.000)

Results
The calculation puts the total DFT energy (no corrections) at -9.7031 eV per atom. As for the space group: Pm-3m.

(19)
VASP calculation (PBE-GGA) on crystalline Ho2ZrScP4 at its relaxed geometry.

Cell: 3.858 6.676 6.695 Å, 109.33 90.00 90.00°
Sites, in units of the cell vectors:
Ho (0.500, 0.000, 0.500)
Ho (0.000, 0.500, 0.500)
P (0.500, 0.754, 0.764)
P (0.000, 0.745, 0.236)
Zr (0.000, 0.000, 0.000)
P (0.500, 0.246, 0.236)
P (0.000, 0.255, 0.764)
Sc (0.500, 0.500, 0.000)

Results
The calculation puts the total DFT energy (no corrections) at -7.2385 eV per atom. As for the space group: P2/m.

(20)
VASP calculation (PBE-GGA) on crystalline Mn2InPb at its relaxed geometry.

Cell: 5.769 5.769 4.827 Å, 71.98 71.98 31.65°
Each line ends with the local moment (μB).
Sites, in units of the cell vectors:
Pb (0.517, 0.517, 0.448)  -0.08
In (0.735, 0.735, 0.801)  -0.10
Mn (0.976, 0.976, 0.980)  3.45
Mn (0.272, 0.272, 0.270)  3.43

Results
For the energy above the most stable polymorph in this dataset, the calculation gives 105 meV per atom. As for the space group: Cm.